(1)
DFT (PBE-GGA) results for crystalline PmHoGe2Pt2 at its relaxed geometry.

```
PmHoGe2Pt2
1.0
4.433 0.000 0.000
-2.217 3.839 0.000
0.000 0.000 7.221
Pm Ge Pt Ho
1 2 2 1
Direct
0.000 0.000 0.000
0.667 0.333 0.732
0.333 0.667 0.268
0.333 0.667 0.722
0.667 0.333 0.278
0.000 0.000 0.500
```

Values from the calculation:
ΔE_f: -1074.5 meV per atom

(2)
DFT (PBE-GGA) results for crystalline LiCeNdPd at its relaxed geometry.

```
LiCeNdPd
1.0
5.154 0.000 0.000
2.577 4.464 0.000
2.577 1.488 4.209
Pd Nd Ce Li
1 1 1 1
Direct
0.500 0.500 0.500
0.250 0.250 0.250
0.750 0.750 0.750
0.000 0.000 0.000
```

Values from the calculation:
ΔE_f: -217.1 meV per atom

(3)
DFT (PBE-GGA) results for crystalline LaInAu6 at its relaxed geometry.

```
LaInAu6
1.0
-1.969 -3.153 -2.599
-0.926 -3.110 4.475
-6.025 3.046 0.870
La Au In
1 6 1
Direct
0.000 0.671 0.000
0.000 0.184 0.733
0.500 0.850 0.287
0.500 0.228 0.000
0.000 0.184 0.267
0.000 0.672 0.500
0.500 0.850 0.713
0.500 0.362 0.500
```

Values from the calculation:
ΔE_f: -364.4 meV per atom
Polymorph energy (0 for the lowest one): 0.000 eV per atom

(4)
DFT (PBE-GGA) results for crystalline MgTaPtRh at its relaxed geometry.

```
MgTaPtRh
1.0
-3.545 1.867 2.052
-2.908 -2.584 2.264
-0.155 0.192 4.494
Ta Mg Rh Pt
1 1 1 1
Direct
0.750 0.750 0.750
0.250 0.250 0.250
0.500 0.500 0.500
0.000 0.000 0.000
```

Values from the calculation:
ΔE_f: -580.5 meV per atom

Q: What is the formula in the third record?
A: LaInAu6